Here is a geometry-optimized CdCu2Ir2 structure from the Alexandria database. Energies are from PBE.

Cell and atoms, written as CIF:
```
data_CdCu2Ir2
_chemical_formula_sum 'Cd2 Cu4 Ir4'
_cell_length_a 7.332
_cell_length_b 7.332
_cell_length_c 2.806
_cell_angle_alpha 90.00
_cell_angle_beta 90.00
_cell_angle_gamma 90.00
_symmetry_space_group_name_H-M 'P 4/m b m'
_symmetry_Int_Tables_number 127
_symmetry_space_group_name_Hall '-P 4 2ab'
loop_
_atom_site_label
_atom_site_type_symbol
_atom_site_fract_x
_atom_site_fract_y
_atom_site_fract_z
Cd1 Cd 0.000 0.000 0.000
Cu1 Cu 0.164 0.336 0.000
Ir1 Ir 0.132 0.632 0.500
```

Properties
- formation energy (meV per atom) = 291
- size of the total moment (μB per atom) = 0.000
- theoretical density (g/cm3) = 13.74